VASP calculation (GGA-PBE) on crystalline Pm2TmPuAs4 at its relaxed geometry.

Cell and atoms, written as CIF:
```
data_Pm2TmPuAs4
_space_group_name_H-M_alt 'P 1 2/m 1'
_space_group_IT_number 10
_cell_length_a 7.205
_cell_length_b 4.176
_cell_length_c 7.213
_cell_angle_alpha 90.00
_cell_angle_beta 109.45
_cell_angle_gamma 90.00
loop_
_space_group_symop_operation_xyz
'x,y,z'
'-x,-y,-z'
'-x,y,-z'
'x,-y,z'
loop_
_atom_site_label
_atom_site_fract_x
_atom_site_fract_y
_atom_site_fract_z
Pm1 0.000 0.000 0.000
Pm2 0.500 0.500 0.000
Tm1 0.000 0.500 0.500
Pu1 0.500 0.000 0.500
As1 0.246 0.000 0.739
As2 0.253 0.500 0.260
```

Output
E_tot = -57.9 eV per cell
size of the total moment = 4.93 μB/cell

***

VASP calculation (GGA-PBE) on crystalline LiTaRh2 at its relaxed geometry.

Cell and atoms, written as CIF:
```
data_LiTaRh2
_space_group_name_H-M_alt 'C 1 2/m 1'
_space_group_IT_number 12
_cell_length_a 8.309
_cell_length_b 2.810
_cell_length_c 5.079
_cell_angle_alpha 90.00
_cell_angle_beta 96.96
_cell_angle_gamma 90.00
loop_
_space_group_symop_operation_xyz
'x,y,z'
'-x,-y,-z'
'-x,y,-z'
'x,-y,z'
'x+1/2,y+1/2,z'
'-x+1/2,-y+1/2,-z'
'-x+1/2,y+1/2,-z'
'x+1/2,-y+1/2,z'
loop_
_atom_site_label
_atom_site_fract_x
_atom_site_fract_y
_atom_site_fract_z
Li1 0.000 0.000 0.000
Ta1 0.000 0.500 0.500
Rh1 0.249 0.500 0.236
```

Output
energy above the lowest structure with this stoichiometry = 335 meV per atom
E_tot = -58.7 eV per cell
size of the total moment = 0.00 μB/cell

***

VASP calculation (GGA-PBE) on crystalline GaTcGe3 at its relaxed geometry.

Cell and atoms, written as CIF:
```
data_GaTcGe3
_space_group_name_H-M_alt 'P m -3 m'
_space_group_IT_number 221
_space_group_name_Hall '-P 4 2 3'
_cell_length_a 4.839
_cell_length_b 4.839
_cell_length_c 4.839
_cell_angle_alpha 90.00
_cell_angle_beta 90.00
_cell_angle_gamma 90.00
loop_
_atom_site_label
_atom_site_fract_x
_atom_site_fract_y
_atom_site_fract_z
Ga1 0.000 0.000 0.000
Tc1 0.500 0.500 0.500
Ge1 0.000 0.000 0.500
```

Output
energy above the lowest structure with this stoichiometry = 916 meV per atom
E_tot = -21.1 eV per cell
size of the total moment = 3.47 μB/cell

***

- The highest size of the total moment belongs to which entry?
  Pm2TmPuAs4

***

Repeat the third record exactly.
VASP calculation (GGA-PBE) on crystalline GaTcGe3 at its relaxed geometry.

Cell and atoms, written as CIF:
```
data_GaTcGe3
_space_group_name_H-M_alt 'P m -3 m'
_space_group_IT_number 221
_space_group_name_Hall '-P 4 2 3'
_cell_length_a 4.839
_cell_length_b 4.839
_cell_length_c 4.839
_cell_angle_alpha 90.00
_cell_angle_beta 90.00
_cell_angle_gamma 90.00
loop_
_atom_site_label
_atom_site_fract_x
_atom_site_fract_y
_atom_site_fract_z
Ga1 0.000 0.000 0.000
Tc1 0.500 0.500 0.500
Ge1 0.000 0.000 0.500
```

Output
energy above the lowest structure with this stoichiometry = 916 meV per atom
E_tot = -21.1 eV per cell
size of the total moment = 3.47 μB/cell